Model A:
Entry from Alexandria via LeMat-Bulk: a geometry-optimized Pr7Sm2Er2 structure (PBE).

Space-group type ... Cmmm, No. 65
ρ ... 6.70 Mg/m³

a = 6.996 Å, b = 6.996 Å, c = 9.698 Å
α = 90.00°, β = 90.00°, γ = 122.21°
Sites, in units of the cell vectors:
Pr  0.000  0.000  0.000
Pr  0.000  0.500  0.315
Pr  0.000  0.500  0.685
Pr  0.500  0.000  0.315
Pr  0.500  0.000  0.685
Pr  0.500  0.500  0.179
Pr  0.500  0.500  0.821
Sm  0.250  0.250  0.500
Sm  0.750  0.750  0.500
Er  0.268  0.732  0.000
Er  0.732  0.268  0.000

=====

Model B:
Entry from Alexandria via LeMat-Bulk: a geometry-optimized Pr7Sm2Er2 structure (PBE).

Space-group type ... C2/m, No. 12
ρ ... 6.99 Mg/m³

a = 6.398 Å, b = 6.398 Å, c = 10.245 Å
α = 91.10°, β = 91.10°, γ = 113.19°
Sites, in units of the cell vectors:
Pr  0.000  0.000  0.000
Pr  0.179  0.586  0.150
Pr  0.188  0.188  0.366
Pr  0.414  0.821  0.850
Pr  0.586  0.179  0.150
Pr  0.812  0.812  0.634
Pr  0.821  0.414  0.850
Sm  0.289  0.289  0.703
Sm  0.711  0.711  0.297
Er  0.272  0.728  0.500
Er  0.728  0.272  0.500

=====

Stability check: which of them is least stable? model A.

=====

Model A:
Entry from Alexandria via LeMat-Bulk: a geometry-optimized PrSmEr5 structure (PBE).

Space-group type ... C2/c, No. 15
ρ ... 8.26 Mg/m³

a = 6.739 Å, b = 6.739 Å, c = 12.060 Å
α = 106.24°, β = 106.24°, γ = 61.03°
Sites, in units of the cell vectors:
Pr  0.026  0.974  0.750
Pr  0.974  0.026  0.250
Sm  0.000  0.500  0.000
Sm  0.500  0.000  0.500
Er  0.139  0.419  0.747
Er  0.201  0.641  0.502
Er  0.359  0.799  0.998
Er  0.410  0.590  0.250
Er  0.419  0.139  0.247
Er  0.581  0.861  0.753
Er  0.590  0.410  0.750
Er  0.641  0.201  0.002
Er  0.799  0.359  0.498
Er  0.861  0.581  0.253

=====

Model B:
Entry from Alexandria via LeMat-Bulk: a geometry-optimized PrSmEr5 structure (PBE).

Space-group type ... Immm, No. 71
ρ ... 6.42 Mg/m³

a = 7.844 Å, b = 7.844 Å, c = 7.844 Å
α = 137.05°, β = 113.27°, γ = 82.70°
Sites, in units of the cell vectors:
Pr  0.000  0.000  0.000
Sm  0.500  0.500  0.000
Er  0.179  0.500  0.679
Er  0.254  0.254  0.000
Er  0.500  0.000  0.500
Er  0.746  0.746  0.000
Er  0.821  0.500  0.321

=====

Stability check: which of them is least stable? model B.